[1]
This record from Alexandria describes an optimized crystal structure of Rb4Se2F. The functional is PBE-GGA.

Computed properties:
The calculation puts the energy relative to the elements, uncorrected at -1.372 eV/atom. The total magnetic moment comes out at 0.154 μB/atom. Its space group is I4/mmm (139).

Unit cell a=5.4569 b=5.4569 c=9.4675 alpha=73.25 beta=73.25 gamma=90.00
Fractional positions:
F 0.0000 0.0000 0.0000
Rb 0.1708 0.1708 0.6584
Rb 0.0000 0.5000 0.0000
Rb 0.8292 0.8292 0.3416
Rb 0.5000 0.0000 0.0000
Se 0.3692 0.3692 0.2615
Se 0.6308 0.6308 0.7385

---

[2]
This record from Alexandria describes an optimized crystal structure of TbPr2Bi. The functional is PBE-GGA.

Computed properties:
The energy relative to the lowest polymorph listed for this composition comes out at 0.0000 eV per atom. As for the formation energy: -0.413 eV/atom. The total magnetic moment comes out at 0.000 μB/atom. Its space group is P4/mmm (123).

Unit cell a=5.0290 b=4.9712 c=4.9712 alpha=90.00 beta=90.00 gamma=90.00
Fractional positions:
Tb 0.5000 0.5000 0.5000
Pr 0.0000 0.5000 0.0000
Pr 0.0000 0.0000 0.5000
Bi 0.5000 0.0000 0.0000

---

[3]
This record from Alexandria describes an optimized crystal structure of KZrTa3. The functional is PBE-GGA.

Computed properties:
The energy relative to the lowest polymorph listed for this composition comes out at 0.5798 eV per atom. As for the formation energy: 2.585 eV/atom. The total magnetic moment comes out at 0.000 μB/atom. Its space group is Pm-3m (221).

Unit cell a=4.7043 b=4.7043 c=4.7043 alpha=90.00 beta=90.00 gamma=90.00
Fractional positions:
Ta 0.0000 0.5000 0.0000
Ta 0.5000 0.0000 0.0000
Ta 0.0000 0.0000 0.5000
Zr 0.5000 0.5000 0.5000
K 0.0000 0.0000 0.0000

---

[4]
This record from Alexandria describes an optimized crystal structure of NaTcO3. The functional is PBE-GGA.

Computed properties:
The calculation puts the energy relative to the elements, uncorrected at -1.522 eV/atom. The total magnetic moment comes out at 0.000 μB/atom. Its space group is P-1 (2).

Unit cell a=5.0971 b=6.2414 c=5.0883 alpha=115.12 beta=61.24 gamma=91.08
Fractional positions:
O 0.6082 0.8573 0.0268
O 0.7469 0.4150 0.1112
O 0.3679 0.9186 0.6631
O 0.5065 0.4764 0.7475
O 0.1130 0.4826 0.3917
O 0.0017 0.8511 0.3827
Na 0.9101 0.0952 0.1812
Na 0.2046 0.2384 0.5930
Tc 0.4166 0.6569 0.2337
Tc 0.6981 0.6768 0.5406

---

[5]
This record from Alexandria describes an optimized crystal structure of U2PaRe. The functional is PBE-GGA.

Computed properties:
The energy relative to the lowest polymorph listed for this composition comes out at 0.0248 eV per atom. As for the formation energy: 0.197 eV/atom. The total magnetic moment comes out at 0.000 μB/atom. Its space group is P4/mmm (123).

Unit cell a=3.5767 b=3.5767 c=6.5838 alpha=90.00 beta=90.00 gamma=90.00
Fractional positions:
Pa 0.5000 0.5000 0.0000
U 0.0000 0.0000 0.7088
U 0.0000 0.0000 0.2912
Re 0.5000 0.5000 0.5000

---

[6]
This record from Alexandria describes an optimized crystal structure of AcTbSi2Au2. The functional is PBE-GGA.

Computed properties:
The calculation puts the energy relative to the elements, uncorrected at -0.811 eV/atom. The total magnetic moment comes out at 0.000 μB/atom. Its space group is P-3m1 (164).

Unit cell a=4.3831 b=4.3831 c=8.3027 alpha=90.00 beta=90.00 gamma=120.00
Fractional positions:
Tb 0.0000 0.0000 0.5000
Si 0.6667 0.3333 0.2664
Si 0.3333 0.6667 0.7336
Au 0.3333 0.6667 0.2795
Au 0.6667 0.3333 0.7205
Ac 0.0000 0.0000 0.0000